First-principles (PBE-GGA) data for a relaxed structure of PrY2Ge2Pt7, as listed in Alexandria via LeMat-Bulk.

Structure (CIF):
```
data_PrY2Ge2Pt7
_space_group_name_H-M_alt 'C 1 2/m 1'
_space_group_IT_number 12
_space_group_name_Hall '-C 2y'
_cell_length_a 5.857
_cell_length_b 5.769
_cell_length_c 14.137
_cell_angle_alpha 90.00
_cell_angle_beta 99.42
_cell_angle_gamma 90.00
loop_
_atom_site_label
_atom_site_fract_x
_atom_site_fract_y
_atom_site_fract_z
_atom_site_occupancy
Pr1 0.000 0.000 0.000 1
Y1 0.124 0.000 0.360 1
Ge1 0.105 0.500 0.262 1
Pt1 0.000 0.500 0.000 1
Pt2 0.137 0.500 0.434 1
Pt3 0.184 0.250 0.838 1
```

Properties
The value obtained for the calculated total energy is -6.6766 eV/atom.